{
  "formula": "Cs2VGeO4",
  "functional": "PBE with a Hubbard U",
  "state": "optimized geometry",
  "cell": [[-0.135, -5.705, -0.529], [6.151, -3.186, 1.738], [-3.368, -3.711, 9.843]],
  "species": ["O", "Cs", "O", "O", "V", "O", "O", "Ge", "Cs", "V", "Cs", "Cs", "O", "Ge", "O", "O"],
  "fractional_positions": [[0.572, 0.342, 0.584], [0.824, 0.000, 0.352], [0.252, 0.842, 0.084], [0.498, 0.658, 0.416], [0.750, 0.500, 0.500], [0.664, 0.158, 0.084], [0.178, 0.158, 0.916], [0.250, 0.500, 0.500], [0.176, 0.000, 0.648], [0.000, 0.000, 0.000], [0.574, 0.500, 0.852], [0.926, 0.500, 0.148], [0.086, 0.342, 0.416], [0.500, 0.000, 0.000], [0.844, 0.658, 0.584], [0.906, 0.842, 0.916]],
  "dft_energy_ev_per_atom": -5.727,
  "sg": "Fddd"
}